(1)
## Mg2ZnPb (PBE)

Data for Mg2ZnPb after structural relaxation.

Structure (POSCAR):
```
Mg2ZnPb
1.0
3.483 0.000 0.000
0.000 4.323 0.000
0.000 0.000 6.058
Mg Zn Pb
2 1 1
direct
0.000 0.000 0.000
0.500 0.500 0.265
0.500 0.500 0.798
0.000 0.000 0.515
```

## Properties
- Space-group type: Pmm2, No. 25
- Energy of formation from the pure elements: 0.0113 eV/atom
- Density: 5848 kg/m³

(2)
## Li12Cd5Hg2 (PBE)

Data for Li12Cd5Hg2 after structural relaxation.

Structure (POSCAR):
```
Li12Cd5Hg2
1.0
7.811 -4.803 0.000
7.811 4.803 0.000
-1.061 0.000 4.776
Li Cd Hg
12 5 2
direct
0.050 0.555 0.802
0.080 0.080 0.208
0.150 0.662 0.404
0.338 0.850 0.596
0.398 0.398 0.930
0.445 0.950 0.198
0.555 0.050 0.802
0.602 0.602 0.070
0.662 0.150 0.404
0.850 0.338 0.596
0.920 0.920 0.792
0.950 0.445 0.198
0.191 0.191 0.787
0.299 0.299 0.362
0.500 0.500 0.500
0.701 0.701 0.638
0.809 0.809 0.213
0.256 0.744 0.000
0.744 0.256 0.000
```

## Properties
- Space-group type: C2/m, No. 12
- Energy of formation from the pure elements: -0.2170 eV/atom
- Density: 4850 kg/m³
- Distance to the lowest polymorph of the same formula: 0.000 eV per atom

(3)
## Cs2KNa (PBE)

Data for Cs2KNa after structural relaxation.

Structure (POSCAR):
```
Cs2KNa
1.0
0.000 5.435 5.435
5.435 0.000 5.435
5.435 5.435 0.000
Cs K Na
2 1 1
direct
0.250 0.250 0.250
0.750 0.750 0.750
0.000 0.000 0.000
0.500 0.500 0.500
```

## Properties
- Space-group type: Fm-3m, No. 225
- Energy of formation from the pure elements: 0.0267 eV/atom
- Density: 1696 kg/m³
- Distance to the lowest polymorph of the same formula: 0.012 eV per atom

(4)
## BaTi3W (PBE)

Data for BaTi3W after structural relaxation.

Structure (POSCAR):
```
BaTi3W
1.0
4.835 0.000 0.000
0.000 4.835 0.000
0.000 0.000 4.835
Ba Ti W
1 3 1
direct
0.000 0.000 0.000
0.000 0.000 0.500
0.000 0.500 0.000
0.500 0.000 0.000
0.500 0.500 0.500
```

## Properties
- Space-group type: Pm-3m, No. 221
- Energy of formation from the pure elements: 2.3503 eV/atom
- Density: 6827 kg/m³
- Distance to the lowest polymorph of the same formula: 1.617 eV per atom

(5)
## Si3Hg4 (PBE)

Data for Si3Hg4 after structural relaxation.

Structure (POSCAR):
```
Si3Hg4
1.0
5.566 0.000 0.000
0.000 5.566 0.000
0.000 0.000 5.566
Si Hg
3 4
direct
0.000 0.000 0.500
0.000 0.500 0.000
0.500 0.000 0.000
0.304 0.304 0.304
0.304 0.696 0.696
0.696 0.304 0.696
0.696 0.696 0.304
```

## Properties
- Space-group type: P-43m, No. 215
- Density: 8536 kg/m³
- Distance to the lowest polymorph of the same formula: 0.272 eV per atom

(6)
## GeMoI3 (PBE)

Data for GeMoI3 after structural relaxation.

Structure (POSCAR):
```
GeMoI3
1.0
5.776 0.000 0.000
0.000 5.776 0.000
0.000 0.000 5.776
Ge Mo I
1 1 3
direct
0.000 0.000 0.000
0.500 0.500 0.500
0.000 0.000 0.500
0.000 0.500 0.000
0.500 0.000 0.000
```

## Properties
- Space-group type: Pm-3m, No. 221
- Density: 4733 kg/m³
- Distance to the lowest polymorph of the same formula: 0.157 eV per atom